1.
A plane-wave DFT calculation with PBE was carried out for an optimized crystal structure of V6Cr2Mo.

Geometry as CIF:
```
data_V6Cr2Mo
_cell_length_a 5.862
_cell_length_b 5.862
_cell_length_c 5.458
_cell_angle_alpha 57.52
_cell_angle_beta 57.52
_cell_angle_gamma 60.00
_space_group_name_H-M_alt 'P 1'
_space_group_IT_number 1
loop_
_space_group_symop_operation_xyz
'x,y,z'
loop_
_atom_site_label
_atom_site_fract_x
_atom_site_fract_y
_atom_site_fract_z
_atom_site_occupancy
V1 0.836 0.322 0.672 1
V2 0.169 0.836 0.672 1
V3 0.322 0.169 0.672 1
V4 0.195 0.728 0.221 1
V5 0.855 0.195 0.221 1
V6 0.728 0.855 0.221 1
Cr1 0.735 0.735 0.796 1
Cr2 0.522 0.522 0.433 1
Mo1 0.303 0.303 0.092 1
```

Calculated values
Energy above the lowest structure with this stoichiometry, meV/atom: 442
D(E_F), states/eV/atom: 1.20
Calculated total energy, eV per atom: -8.941
Symmetry: R3, No. 146
Calculated formation energy, meV per atom: 480
Total magnetic moment, μB per cell: 0.02

=====

2.
A plane-wave DFT calculation with PBE was carried out for an optimized crystal structure of VCrMo.

Geometry as CIF:
```
data_VCrMo
_cell_length_a 2.498
_cell_length_b 2.498
_cell_length_c 7.387
_cell_angle_alpha 99.74
_cell_angle_beta 99.74
_cell_angle_gamma 90.00
_space_group_name_H-M_alt 'P 1'
_space_group_IT_number 1
loop_
_space_group_symop_operation_xyz
'x,y,z'
loop_
_atom_site_label
_atom_site_fract_x
_atom_site_fract_y
_atom_site_fract_z
_atom_site_occupancy
Cr1 0.126 0.126 0.251 1
Mo1 0.952 0.952 0.904 1
V1 0.772 0.772 0.545 1
```

Calculated values
Energy above the lowest structure with this stoichiometry, meV/atom: 851
D(E_F), states/eV/atom: 1.06
Calculated total energy, eV per atom: -9.078
Symmetry: I4mm, No. 107
Calculated formation energy, meV per atom: 780
Total magnetic moment, μB per cell: 0.00

=====

3.
A plane-wave DFT calculation with PBE was carried out for an optimized crystal structure of V5CrMo2.

Geometry as CIF:
```
data_V5CrMo2
_cell_length_a 4.336
_cell_length_b 5.076
_cell_length_c 10.112
_cell_angle_alpha 90.00
_cell_angle_beta 90.00
_cell_angle_gamma 90.00
_space_group_name_H-M_alt 'P 1'
_space_group_IT_number 1
loop_
_space_group_symop_operation_xyz
'x,y,z'
loop_
_atom_site_label
_atom_site_fract_x
_atom_site_fract_y
_atom_site_fract_z
_atom_site_occupancy
V1 0.500 0.339 0.112 1
V2 0.500 0.661 0.888 1
V3 0.500 0.839 0.388 1
V4 0.500 0.161 0.612 1
V5 0.000 0.855 0.745 1
V6 0.000 0.145 0.255 1
V7 0.000 0.355 0.755 1
V8 0.000 0.645 0.245 1
V9 0.000 0.500 0.500 1
V10 0.000 0.000 0.000 1
Cr1 0.000 0.000 0.500 1
Cr2 0.000 0.500 0.000 1
Mo1 0.500 0.335 0.371 1
Mo2 0.500 0.665 0.629 1
Mo3 0.500 0.165 0.871 1
Mo4 0.500 0.835 0.129 1
```

Calculated values
D(E_F), states/eV/atom: 0.93
Calculated total energy, eV per atom: -9.620
Symmetry: Pbam, No. 55
Calculated formation energy, meV per atom: -10
Total magnetic moment, μB per cell: 0.00

=====

4.
A plane-wave DFT calculation with PBE was carried out for an optimized crystal structure of V2Cr2Mo.

Geometry as CIF:
```
data_V2Cr2Mo
_cell_length_a 2.971
_cell_length_b 4.223
_cell_length_c 10.564
_cell_angle_alpha 90.00
_cell_angle_beta 97.81
_cell_angle_gamma 90.00
_space_group_name_H-M_alt 'P 1'
_space_group_IT_number 1
loop_
_space_group_symop_operation_xyz
'x,y,z'
loop_
_atom_site_label
_atom_site_fract_x
_atom_site_fract_y
_atom_site_fract_z
_atom_site_occupancy
V1 0.048 0.750 0.096 1
V2 0.952 0.250 0.904 1
V3 0.248 0.750 0.496 1
V4 0.752 0.250 0.504 1
Cr1 0.649 0.750 0.298 1
Cr2 0.351 0.250 0.702 1
Cr3 0.452 0.750 0.904 1
Cr4 0.548 0.250 0.096 1
Mo1 0.853 0.750 0.706 1
Mo2 0.147 0.250 0.294 1
```

Calculated values
D(E_F), states/eV/atom: 0.74
Calculated total energy, eV per atom: -9.733
Symmetry: P2_1/m, No. 11
Calculated formation energy, meV per atom: -70
Total magnetic moment, μB per cell: 0.00

=====

5.
A plane-wave DFT calculation with PBE was carried out for an optimized crystal structure of V3Cr2Mo8.

Geometry as CIF:
```
data_V3Cr2Mo8
_cell_length_a 4.847
_cell_length_b 7.558
_cell_length_c 6.764
_cell_angle_alpha 123.96
_cell_angle_beta 94.89
_cell_angle_gamma 90.00
_space_group_name_H-M_alt 'P 1'
_space_group_IT_number 1
loop_
_space_group_symop_operation_xyz
'x,y,z'
loop_
_atom_site_label
_atom_site_fract_x
_atom_site_fract_y
_atom_site_fract_z
_atom_site_occupancy
V1 0.500 0.000 0.000 1
V2 0.000 0.177 0.000 1
V3 0.000 0.823 0.000 1
Cr1 0.269 0.190 0.379 1
Cr2 0.731 0.810 0.621 1
Mo1 0.904 0.602 0.205 1
Mo2 0.096 0.398 0.795 1
Mo3 0.782 0.192 0.385 1
Mo4 0.218 0.808 0.615 1
Mo5 0.550 0.571 0.765 1
Mo6 0.550 0.194 0.765 1
Mo7 0.450 0.806 0.235 1
Mo8 0.450 0.429 0.235 1
```

Calculated values
D(E_F), states/eV/atom: 1.14
Calculated total energy, eV per atom: -9.799
Symmetry: C2/m, No. 12
Calculated formation energy, meV per atom: 451
Total magnetic moment, μB per cell: 0.00

=====

6.
A plane-wave DFT calculation with PBE was carried out for an optimized crystal structure of V8CrMo4.

Geometry as CIF:
```
data_V8CrMo4
_cell_length_a 4.313
_cell_length_b 5.030
_cell_length_c 12.446
_cell_angle_alpha 49.13
_cell_angle_beta 80.02
_cell_angle_gamma 64.61
_space_group_name_H-M_alt 'P 1'
_space_group_IT_number 1
loop_
_space_group_symop_operation_xyz
'x,y,z'
loop_
_atom_site_label
_atom_site_fract_x
_atom_site_fract_y
_atom_site_fract_z
_atom_site_occupancy
V1 0.056 0.541 0.347 1
V2 0.436 0.937 0.191 1
V3 0.595 0.066 0.743 1
V4 0.975 0.462 0.587 1
V5 0.748 0.230 0.274 1
V6 0.210 0.687 0.892 1
V7 0.284 0.773 0.660 1
V8 0.821 0.316 0.041 1
Cr1 0.516 0.002 0.967 1
Mo1 0.364 0.842 0.429 1
Mo2 0.901 0.383 0.815 1
Mo3 0.130 0.620 0.119 1
Mo4 0.667 0.161 0.505 1
```

Calculated values
D(E_F), states/eV/atom: 1.28
Calculated total energy, eV per atom: -9.771
Symmetry: C2/m, No. 12
Calculated formation energy, meV per atom: -87
Total magnetic moment, μB per cell: 0.00

=====

7.
A plane-wave DFT calculation with PBE was carried out for an optimized crystal structure of V6CrMo.

Geometry as CIF:
```
data_V6CrMo
_cell_length_a 4.194
_cell_length_b 5.230
_cell_length_c 5.230
_cell_angle_alpha 109.60
_cell_angle_beta 90.00
_cell_angle_gamma 90.00
_space_group_name_H-M_alt 'P 1'
_space_group_IT_number 1
loop_
_space_group_symop_operation_xyz
'x,y,z'
loop_
_atom_site_label
_atom_site_fract_x
_atom_site_fract_y
_atom_site_fract_z
_atom_site_occupancy
V1 0.500 0.000 0.500 1
V2 0.500 0.500 0.000 1
V3 0.000 0.256 0.256 1
V4 0.000 0.744 0.744 1
V5 0.000 0.747 0.253 1
V6 0.000 0.253 0.747 1
Cr1 0.500 0.500 0.500 1
Mo1 0.500 0.000 0.000 1
```

Calculated values
Energy above the lowest structure with this stoichiometry, meV/atom: 0
D(E_F), states/eV/atom: 1.66
Calculated total energy, eV per atom: -9.438
Symmetry: Cmmm, No. 65
Calculated formation energy, meV per atom: -43
Total magnetic moment, μB per cell: 0.00

=====

8.
A plane-wave DFT calculation with PBE was carried out for an optimized crystal structure of V5CrMo4.

Geometry as CIF:
```
data_V5CrMo4
_cell_length_a 3.046
_cell_length_b 3.046
_cell_length_c 15.209
_cell_angle_alpha 90.00
_cell_angle_beta 90.00
_cell_angle_gamma 90.00
_space_group_name_H-M_alt 'P 1'
_space_group_IT_number 1
loop_
_space_group_symop_operation_xyz
'x,y,z'
loop_
_atom_site_label
_atom_site_fract_x
_atom_site_fract_y
_atom_site_fract_z
_atom_site_occupancy
V1 0.500 0.500 0.094 1
V2 0.500 0.500 0.297 1
V3 0.500 0.500 0.500 1
V4 0.500 0.500 0.703 1
V5 0.500 0.500 0.906 1
Cr1 0.000 0.000 0.000 1
Mo1 0.000 0.000 0.195 1
Mo2 0.000 0.000 0.398 1
Mo3 0.000 0.000 0.602 1
Mo4 0.000 0.000 0.805 1
```

Calculated values
D(E_F), states/eV/atom: 1.04
Calculated total energy, eV per atom: -9.960
Symmetry: P4/mmm, No. 123
Calculated formation energy, meV per atom: -106
Total magnetic moment, μB per cell: 0.00

=====

- Look up the total magnetic moment of the second one.
  0.00 μB per cell